Computed, not measured: a relaxed TbAl3AgAu crystal at the GGA-PBE level of DFT.

Values from the calculation:
formation enthalpy at 0 K: -0.232 eV per atom
space-group type: Cmcm
crystal system: orthorhombic
total magnetization: 0.00 μB per formula unit
electronic total energy: -3.897 eV per atom

abc: 5.906 6.091 7.262
angles: 114.80 90.00 90.00
Sites, in units of the cell vectors:
Tb  0.750  0.306  0.611
Ag  0.750  0.093  0.186
Au  0.750  0.661  0.321
Tb  0.250  0.694  0.389
Ag  0.250  0.907  0.814
Al  0.000  0.710  0.000
Al  0.500  0.710  0.000
Al  0.250  0.136  0.273
Al  0.000  0.290  0.000
Al  0.500  0.290  0.000
Al  0.750  0.864  0.727
Au  0.250  0.339  0.679